PaNiSnH after structural relaxation, computed with PBE-GGA.

Cell lengths 4.2806, 4.2806, 4.1285 Å; angles 90.00, 90.00, 120.00 degrees
Closest atoms and distances in Å follow each position.
Space group P3m1 (No. 156)
Unique sites:
1 Pa 0.0000 0.0000 0.0000  3 H 2.47
2 Ni 0.6667 0.3333 0.6407  1 H 1.59
3 Sn 0.3333 0.6667 0.4761  3 Ni 2.56
4 H 0.6667 0.3333 0.0258  1 Ni 1.59

Values from the calculation:
Density   10.38 g/cm³
Raw total energy   -6.112 eV per atom
Total moment   0.00 μB/cell

***

PaTaNi2H6 after structural relaxation, computed with PBE-GGA.

Cell lengths 4.4214, 4.4214, 14.9776 Å; angles 90.00, 90.00, 120.00 degrees
Closest atoms and distances in Å follow each position.
Space group R-3m (No. 166, hexagonal axes)
Unique sites:
1 Pa 0.0000 0.0000 0.0000  12 H 2.41
2 Ta 0.0000 0.0000 0.5000  6 H 1.97
3 Ni 0.0000 0.0000 0.1972  3 H 1.71
4 H 0.0125 0.5062 0.0641  1 Ni 1.71

Values from the calculation:
Density   10.52 g/cm³
Raw total energy   -5.604 eV per atom
Total moment   0.03 μB/cell

***

PaZnNiH6 after structural relaxation, computed with PBE-GGA.

Cell lengths 4.2770, 4.2770, 4.4271 Å; angles 90.00, 90.00, 120.00 degrees
Closest atoms and distances in Å follow each position.
Space group P-6m2 (No. 187)
Unique sites:
1 Pa 0.0000 0.0000 0.0000  12 H 2.32
2 Zn 0.6667 0.3333 0.5000  6 H 1.85
3 Ni 0.3333 0.6667 0.5000  6 H 1.75
4 H 0.0200 0.5100 0.2048  1 Ni 1.75, 1 H 1.81, 1 Zn 1.85

Values from the calculation:
Density   8.55 g/cm³
Raw total energy   -4.194 eV per atom
Total moment   0.00 μB/cell

***

PaZnNi4H6 after structural relaxation, computed with PBE-GGA.

Cell lengths 4.2865, 4.2865, 6.4503 Å; angles 90.00, 90.00, 120.00 degrees
Closest atoms and distances in Å follow each position.
Space group P6/mmm (No. 191)
Unique sites:
1 Pa 0.0000 0.0000 0.0000  12 H 2.35
2 Zn 0.0000 0.0000 0.5000  12 Ni 2.75
3 Ni 0.3333 0.6667 0.3148  3 H 1.64
4 H 0.0000 0.5000 0.1479  2 Ni 1.64

Values from the calculation:
Density   8.69 g/cm³
Raw total energy   -4.727 eV per atom
Total moment   0.00 μB/cell

***

PaZnNi2H8 after structural relaxation, computed with PBE-GGA.

Cell lengths 4.5797, 4.5797, 6.3597 Å; angles 90.00, 90.00, 120.00 degrees
Closest atoms and distances in Å follow each position.
Space group P-3m1 (No. 164)
Unique sites:
1 Pa 0.0000 0.0000 0.0000  6 H 2.27
2 Zn 0.0000 0.0000 0.5000  6 H 1.79
3 Ni 0.3333 0.6667 0.1735  4 H 1.55-1.61
4 H 0.1568 0.3136 0.2983  1 Ni 1.61, 1 Zn 1.79
5 H 0.3333 0.6667 0.9291  1 Ni 1.55

Values from the calculation:
Density   6.06 g/cm³
Raw total energy   -4.115 eV per atom
Total moment   0.00 μB/cell

***

NiH2Pb after structural relaxation, computed with PBE-GGA.

Cell lengths 4.8890, 4.8479, 10.2427 Å; angles 90.00, 118.44, 90.00 degrees
Closest atoms and distances in Å follow each position.
Space group P2_1/c (No. 14)
Unique sites:
1 Ni 0.2492 0.9997 0.9999  4 H 1.62-1.63
2 H 0.0018 0.2237 0.0016  2 Ni 1.63
3 H 0.4279 0.6739 0.4275  2 Ni 1.62
4 Pb 0.2904 0.1007 0.2906  2 H 2.41-2.67

Values from the calculation:
Density   8.34 g/cm³
Raw total energy   -3.983 eV per atom
Total moment   0.00 μB/cell

***

NiH2Pb after structural relaxation, computed with PBE-GGA.

Cell lengths 4.7225, 4.7225, 8.8767 Å; angles 90.00, 90.00, 90.00 degrees
Closest atoms and distances in Å follow each position.
Space group I-42d (No. 122)
Unique sites:
1 Ni 0.0000 0.0000 0.0000  4 H 1.62
2 H 0.0034 0.7500 0.1250  2 Ni 1.62
3 Pb 0.0000 0.0000 0.5000  8 H 2.85-2.88

Values from the calculation:
Density   8.99 g/cm³
Raw total energy   -3.880 eV per atom
Total moment   0.00 μB/cell

***

NiHPb2 after structural relaxation, computed with PBE-GGA.

Cell lengths 5.2529, 5.2529, 12.7636 Å; angles 90.00, 90.00, 90.00 degrees
Closest atoms and distances in Å follow each position.
Space group I-42d (No. 122)
Unique sites:
1 Ni 0.0000 0.0000 0.0000  4 Pb 2.57
2 H 0.0000 0.0000 0.5000  4 Pb 2.34
3 Pb 0.2085 0.2500 0.6250  2 H 2.34, 2 Ni 2.57

Values from the calculation:
Density   8.94 g/cm³
Raw total energy   -3.651 eV per atom
Total moment   0.00 μB/cell

***

NiH2Pb after structural relaxation, computed with PBE-GGA.

Cell lengths 5.7534, 5.7534, 5.7534 Å; angles 90.00, 90.00, 90.00 degrees
Closest atoms and distances in Å follow each position.
Space group Fm-3m (No. 225)
Unique sites:
1 Ni 0.0000 0.0000 0.0000  8 H 2.49
2 H 0.2500 0.2500 0.2500  4 Pb 2.49, 4 Ni 2.49
3 Pb 0.0000 0.0000 0.5000  8 H 2.49

Values from the calculation:
Density   9.34 g/cm³
Raw total energy   -3.220 eV per atom
Total moment   0.00 μB/cell

***

NiHPb2 after structural relaxation, computed with PBE-GGA.

Cell lengths 6.6294, 6.6294, 6.6294 Å; angles 90.00, 90.00, 90.00 degrees
Closest atoms and distances in Å follow each position.
Space group Fm-3m (No. 225)
Unique sites:
1 Ni 0.0000 0.0000 0.0000  8 Pb 2.87
2 H 0.0000 0.0000 0.5000  8 Pb 2.87
3 Pb 0.2500 0.2500 0.2500  4 H 2.87, 4 Ni 2.87

Values from the calculation:
Density   10.81 g/cm³
Raw total energy   -3.683 eV per atom
Total moment   0.00 μB/cell

***

NiHPb3 after structural relaxation, computed with PBE-GGA.

Cell lengths 4.7854, 4.7854, 4.7854 Å; angles 90.00, 90.00, 90.00 degrees
Closest atoms and distances in Å follow each position.
Space group Pm-3m (No. 221)
Unique sites:
1 Ni 0.0000 0.0000 0.0000  12 Pb 3.38
2 H 0.5000 0.5000 0.5000  6 Pb 2.39
3 Pb 0.0000 0.5000 0.5000  2 H 2.39

Values from the calculation:
Density   10.32 g/cm³
Raw total energy   -3.538 eV per atom
Total moment   0.00 μB/cell

***

NiHPb3 after structural relaxation, computed with PBE-GGA.

Cell lengths 5.1196, 5.1196, 5.1196 Å; angles 90.00, 90.00, 90.00 degrees
Closest atoms and distances in Å follow each position.
Space group Pm-3m (No. 221)
Unique sites:
1 Ni 0.0000 0.0000 0.0000  6 Pb 2.56
2 H 0.5000 0.5000 0.5000  12 Pb 3.62
3 Pb 0.0000 0.0000 0.5000  2 Ni 2.56

Values from the calculation:
Density   8.43 g/cm³
Raw total energy   -3.505 eV per atom
Total moment   0.00 μB/cell